A plane-wave DFT calculation with PBE was carried out for a relaxed structure of CrRhSe2. Values from VASP.

Values from the calculation:
* D(E_F): 3.49 states/eV/f.u.
* formation energy without anion corrections: -70.7 meV/atom
* space-group type: R-3m, No. 166
* total DFT energy (no corrections): -6.057 eV/atom

```
&SYSTEM
  ibrav = 0, nat = 4, ntyp = 3
/
ATOMIC_SPECIES
Cr 52.00 Cr.upf
Se 78.96 Se.upf
Rh 102.91 Rh.upf
ATOMIC_POSITIONS crystal
Cr 0.500 0.500 0.500
Se 0.901 0.901 0.901
Se 0.099 0.099 0.099
Rh 0.000 0.000 0.000
CELL_PARAMETERS angstrom
1.800 0.000 7.973
-0.900 1.559 7.973
-0.900 -1.559 7.973
```

=====

A plane-wave DFT calculation with PBE was carried out for a relaxed structure of PuHf2W. Values from VASP.

Values from the calculation:
* D(E_F): 8.06 states/eV/f.u.
* space-group type: R-3m, No. 166
* total DFT energy (no corrections): -11.294 eV/atom
* energy relative to the elements: 504 meV per atom

```
&SYSTEM
  ibrav = 0, nat = 4, ntyp = 3
/
ATOMIC_SPECIES
Pu 244.00 Pu.upf
Hf 178.49 Hf.upf
W 183.84 W.upf
ATOMIC_POSITIONS crystal
Pu 0.000 0.000 0.000
Hf 0.908 0.908 0.275
Hf 0.092 0.092 0.725
W 0.500 0.500 0.500
CELL_PARAMETERS angstrom
2.954 0.000 0.000
1.477 2.559 0.000
1.477 0.853 11.125
```

=====

A plane-wave DFT calculation with PBE was carried out for a relaxed structure of Tb2Pm7Sc. Values from VASP.

Values from the calculation:
* D(E_F): 14.38 states/eV/f.u.
* space-group type: Cmmm, No. 65
* total DFT energy (no corrections): -4.224 eV/atom
* energy relative to the elements: 660 meV per atom

```
&SYSTEM
  ibrav = 0, nat = 10, ntyp = 3
/
ATOMIC_SPECIES
Tb 158.93 Tb.upf
Sc 44.96 Sc.upf
Pm 145.00 Pm.upf
ATOMIC_POSITIONS crystal
Tb 0.500 0.296 0.704
Tb 0.500 0.704 0.296
Sc 0.000 0.000 0.000
Pm 0.000 0.196 0.804
Pm 0.500 0.286 0.074
Pm 0.500 0.926 0.714
Pm 0.500 0.714 0.926
Pm 0.000 0.804 0.196
Pm 0.500 0.500 0.500
Pm 0.500 0.074 0.286
CELL_PARAMETERS angstrom
5.241 0.000 0.000
0.000 9.657 -0.777
0.000 -5.050 8.268
```

=====

no.,mass density (g cm⁻³)
1,7.74
2,15.50
3,5.75